Below is a relaxed structure of PmHf2PtO8, with properties calculated at the PBE level.

Summary:
The calculation puts the formation energy without anion corrections at -2509 meV/atom. The value obtained for the total magnetization is 0.0 Bohr magnetons per cell. For the uncorrected energy, the calculation gives -200.94 eV/cell. The value obtained for the density of states at the Fermi level is 4.74 states/eV/f.u. For the calculated volume, the calculation gives 318.8 Å³ per cell.

Cell lengths 6.9097, 7.0022, 6.5895 Å; angles 90.00, 90.00, 90.00 degrees
Last column: nearest neighbours and their distance in Å.
Space group Cmmm (No. 65)
Inequivalent atoms, fractional coordinates:
Pm1 0.0000 0.0000 0.0000  6 O 2.27-2.34
Hf1 0.0000 0.5000 0.2512  6 O 2.05-2.19
Pt1 0.0000 0.0000 0.5000  6 O 2.01-2.04
O1 0.0000 0.2918 0.5000  1 Pt 2.04, 2 Hf 2.19
O2 0.0000 0.3236 0.0000  2 Hf 2.07, 1 Pm 2.27
O3 0.2044 0.0000 0.2838  1 Pt 2.01, 1 Hf 2.05

Below is a relaxed structure of MgTlPb2, with properties calculated at the PBE level.

Summary:
The value obtained for the total magnetization is 0.0 Bohr magnetons per cell. Its formation energy from the elements is 0.011 eV/atom. For the uncorrected energy, the calculation gives -22.67 eV/cell. The value obtained for the density of states at the Fermi level is 2.04 states/eV/f.u. For the calculated volume, the calculation gives 232.8 Å³ per cell.

Cell lengths 3.4856, 5.7587, 11.5970 Å; angles 90.00, 90.00, 90.00 degrees
Last column: nearest neighbours and their distance in Å.
Space group Immm (No. 71)
Inequivalent atoms, fractional coordinates:
Mg1 0.0000 0.0000 0.0000  4 Pb 3.18, 4 Tl 3.37, 2 Mg 3.49
Tl1 0.0000 0.0000 0.5000  4 Mg 3.37, 2 Tl 3.49, 4 Pb 3.59
Pb1 0.0000 0.5000 0.2709  2 Mg 3.18, 6 Pb 3.40-3.49

Below is a relaxed structure of LaHfAg, with properties calculated at the PBE level.

Summary:
The value obtained for the total magnetization is 0.0 Bohr magnetons per cell. The energy above the lowest structure with this stoichiometry comes out at 0.122 eV/atom. Its formation energy from the elements is 0.087 eV/atom. For the uncorrected energy, the calculation gives -34.94 eV/cell. The value obtained for the density of states at the Fermi level is 1.67 states/eV/f.u. For the calculated volume, the calculation gives 153.1 Å³ per cell.

Cell lengths 5.0779, 5.0779, 6.8533 Å; angles 90.00, 90.00, 120.00 degrees
Last column: nearest neighbours and their distance in Å.
Space group P-3m1 (No. 164)
Inequivalent atoms, fractional coordinates:
La1 0.0000 0.0000 0.2419  2 La 3.32-3.54, 6 Ag 3.36-3.37, 6 Hf 3.42-3.43
Hf1 0.3333 0.6667 0.4994  3 Hf 2.93
Ag1 0.3333 0.6667 0.9987  3 Ag 2.93

Below is a relaxed structure of Er4Co2N, with properties calculated at the PBE level.

Summary:
The calculation puts the formation energy without anion corrections at -228 meV/atom. The value obtained for the total magnetization is 0.0 Bohr magnetons per cell. For the uncorrected energy, the calculation gives -84.77 eV/cell. The value obtained for the density of states at the Fermi level is 7.14 states/eV/f.u. For the calculated volume, the calculation gives 301.2 Å³ per cell.

Cell lengths 4.5616, 4.5616, 14.4747 Å; angles 90.00, 90.00, 90.00 degrees
Last column: nearest neighbours and their distance in Å.
Space group I4/mmm (No. 139)
Inequivalent atoms, fractional coordinates:
Er1 0.0000 0.0000 0.1910  1 Co 2.62
Er2 0.0000 0.5000 0.0000  2 N 2.28
Co1 0.0000 0.0000 0.3718  1 N 1.86
N1 0.0000 0.0000 0.5000  2 Co 1.86

Below is a relaxed structure of Na6TlPb3, with properties calculated at the PBE level.

Summary:
The value obtained for the total magnetization is 0.0 Bohr magnetons per cell. The energy above the lowest structure with this stoichiometry comes out at 0.005 eV/atom. Its formation energy from the elements is -0.083 eV/atom. For the uncorrected energy, the calculation gives -44.47 eV/cell. The value obtained for the density of states at the Fermi level is 5.43 states/eV/f.u. For the calculated volume, the calculation gives 611.6 Å³ per cell.

Cell lengths 12.5340, 3.5307, 14.0491 Å; angles 90.00, 100.38, 90.00 degrees
Last column: nearest neighbours and their distance in Å.
Space group P2_1/m (No. 11)
Inequivalent atoms, fractional coordinates:
Na1 0.0017 0.2500 0.1842  4 Pb 3.25-3.33, 7 Na 3.45-3.60
Na2 0.1519 0.7500 0.3882  4 Pb 3.31-3.41, 8 Na 3.49-3.62
Na3 0.2365 0.2500 0.7991  3 Pb 3.37-3.61, 7 Na 3.37-3.75, 2 Tl 3.38
Na4 0.2808 0.2500 0.2144  1 Tl 3.22, 3 Pb 3.24-3.43, 3 Na 3.45-3.53
Na5 0.3077 0.2500 0.5787  5 Pb 3.29-3.57, 5 Na 3.37-3.53, 2 Tl 3.52
Na6 0.3781 0.7500 0.0217  8 Na 3.53-3.75, 2 Pb 3.56, 3 Tl 3.66-3.81
Tl1 0.4599 0.7500 0.7736  5 Na 3.22-3.52, 2 Tl 3.53, 2 Pb 3.55
Pb1 0.0726 0.7500 0.6008  8 Na 3.31-3.61, 4 Pb 3.53-3.55
Pb2 0.1284 0.2500 0.0020  7 Na 3.24-3.56, 2 Pb 3.53
Pb3 0.4269 0.7500 0.4037  6 Na 3.29-3.57, 4 Pb 3.47-3.53, 2 Tl 3.55

Below is a relaxed structure of Na3BPb, with properties calculated at the PBE level.

Summary:
The value obtained for the total magnetization is 0.5 Bohr magnetons per cell. The energy above the lowest structure with this stoichiometry comes out at 0.000 eV/atom. Its formation energy from the elements is 0.703 eV/atom. For the uncorrected energy, the calculation gives -10.83 eV/cell. The value obtained for the density of states at the Fermi level is 2.33 states/eV/f.u. For the calculated volume, the calculation gives 136.5 Å³ per cell.

Cell lengths 5.1485, 5.1485, 5.1485 Å; angles 90.00, 90.00, 90.00 degrees
Last column: nearest neighbours and their distance in Å.
Space group Pm-3m (No. 221)
Inequivalent atoms, fractional coordinates:
Na1 0.0000 0.0000 0.5000  2 B 2.57
B1 0.0000 0.0000 0.0000  6 Na 2.57
Pb1 0.5000 0.5000 0.5000  12 Na 3.64

Below is a relaxed structure of TbEr3Sc3, with properties calculated at the PBE level.

Summary:
The value obtained for the total magnetization is 0.0 Bohr magnetons per cell. The energy above the lowest structure with this stoichiometry comes out at 0.122 eV/atom. Its formation energy from the elements is 0.145 eV/atom. For the uncorrected energy, the calculation gives -72.60 eV/cell. The value obtained for the density of states at the Fermi level is 11.77 states/eV/f.u. For the calculated volume, the calculation gives 405.6 Å³ per cell.

Cell lengths 5.6473, 6.0985, 13.4394 Å; angles 85.76, 81.17, 62.48 degrees
Last column: nearest neighbours and their distance in Å.
Space group P-1 (No. 2)
Inequivalent atoms, fractional coordinates:
Tb1 0.1468 0.2088 0.4991  1 Tb 3.15, 4 Er 3.30-3.39
Er1 0.0680 0.4998 0.2750  3 Sc 3.16-3.18, 4 Er 3.30-3.38, 2 Tb 3.36-3.39
Er2 0.2770 0.8211 0.6910  1 Tb 3.30, 5 Er 3.31-3.45, 3 Sc 3.44-3.47
Er3 0.4042 0.8139 0.3106  1 Tb 3.30, 5 Er 3.30-3.45, 3 Sc 3.46-3.47
Sc1 0.1167 0.8504 0.0964  8 Sc 3.15-3.52, 3 Er 3.16-3.46
Sc2 0.2227 0.4998 0.9098  3 Er 3.18-3.47, 9 Sc 3.21-3.52
Sc3 0.4674 0.1476 0.0969  8 Sc 3.15-3.50, 3 Er 3.17-3.47

Below is a relaxed structure of BaCd2CI, with properties calculated at the PBE level.

Summary:
The calculation puts the formation energy without anion corrections at 345 meV/atom. The value obtained for the total magnetization is 0.0 Bohr magnetons per cell. For the uncorrected energy, the calculation gives -12.80 eV/cell. The value obtained for the density of states at the Fermi level is 2.87 states/eV/f.u. For the calculated volume, the calculation gives 167.2 Å³ per cell.

Cell lengths 4.5963, 4.5963, 7.9130 Å; angles 90.00, 90.00, 90.00 degrees
Last column: nearest neighbours and their distance in Å.
Space group P4/mmm (No. 123)
Inequivalent atoms, fractional coordinates:
Ba1 0.0000 0.0000 0.0000  4 I 3.25
Cd1 0.0000 0.5000 0.5000  2 C 2.30
C1 0.5000 0.5000 0.5000  4 Cd 2.30
I1 0.5000 0.5000 0.0000  4 Ba 3.25

Below is a relaxed structure of Ba2IrCCl, with properties calculated at the PBE level.

Summary:
The calculation puts the formation energy without anion corrections at -788 meV/atom. The value obtained for the total magnetization is 0.0 Bohr magnetons per cell. For the uncorrected energy, the calculation gives -27.72 eV/cell. The value obtained for the density of states at the Fermi level is 2.78 states/eV/f.u. For the calculated volume, the calculation gives 133.6 Å³ per cell.

Cell lengths 5.8563, 5.8563, 3.8942 Å; angles 90.00, 90.00, 90.00 degrees
Last column: nearest neighbours and their distance in Å.
Space group P4/mmm (No. 123)
Inequivalent atoms, fractional coordinates:
Ba1 0.0000 0.5000 0.0000  2 C 2.93
Ir1 0.0000 0.0000 0.5000  2 C 1.95
C1 0.0000 0.0000 0.0000  2 Ir 1.95
Cl1 0.5000 0.5000 0.5000  8 Ba 3.52, 2 Cl 3.89

Below is a relaxed structure of K2PdO4, with properties calculated at the PBE level.

Summary:
The calculation puts the formation energy without anion corrections at -584 meV/atom. The value obtained for the total magnetization is 8.1 Bohr magnetons per cell. For the uncorrected energy, the calculation gives -62.62 eV/cell. For the calculated volume, the calculation gives 266.8 Å³ per cell.

Cell lengths 5.9815, 6.7566, 7.1072 Å; angles 86.71, 68.78, 85.39 degrees
Last column: nearest neighbours and their distance in Å.
Space group P1 (No. 1)
Inequivalent atoms, fractional coordinates:
K1 0.0000 0.0000 0.0000  6 O 2.73-2.87
K2 0.0522 0.5509 0.5368  6 O 2.71-3.01
K3 0.6453 0.0523 0.6522  6 O 2.74-2.98
K4 0.7180 0.5009 0.1873  7 O 2.78-2.96
Pd1 0.2958 0.0549 0.3368  4 O 1.88-1.94
Pd2 0.3751 0.5421 0.8746  4 O 1.88-1.93
O1 0.0260 0.2103 0.3236  1 Pd 1.88
O2 0.1339 0.9423 0.5954  1 Pd 1.89
O3 0.1377 0.3748 0.8582  1 Pd 1.92
O4 0.1757 0.6339 0.1297  1 Pd 1.88
O5 0.5148 0.1569 0.0825  1 Pd 1.94
O6 0.5160 0.4447 0.6043  1 Pd 1.93
O7 0.5909 0.9057 0.3103  1 Pd 1.91
O8 0.6444 0.6842 0.8430  1 Pd 1.88

Below is a relaxed structure of Ce3YHo2P6, with properties calculated at the PBE level.

Summary:
The value obtained for the total magnetization is 3.0 Bohr magnetons per cell. Its formation energy from the elements is -1.561 eV/atom. For the uncorrected energy, the calculation gives -169.23 eV/cell. The value obtained for the density of states at the Fermi level is 13.77 states/eV/f.u. For the calculated volume, the calculation gives 559.7 Å³ per cell.

Cell lengths 7.0046, 12.1344, 6.9868 Å; angles 90.00, 109.53, 90.00 degrees
Last column: nearest neighbours and their distance in Å.
Space group C2/m (No. 12)
Inequivalent atoms, fractional coordinates:
Ce1 0.0000 0.0000 0.0000  6 P 2.87
Ce2 0.0000 0.3335 0.0000  6 P 2.87
Y1 0.0000 0.5000 0.5000  6 P 2.85
Ho1 0.0000 0.1667 0.5000  6 P 2.84
P1 0.2476 0.0000 0.7462  2 Ho 2.84, 1 Y 2.85, 3 Ce 2.87
P2 0.2493 0.3328 0.7463  2 Ho 2.84, 1 Y 2.85, 3 Ce 2.87

Below is a relaxed structure of Nd3SnB2Pt9, with properties calculated at the PBE level.

Summary:
The value obtained for the total magnetization is 0.0 Bohr magnetons per cell. Its formation energy from the elements is -0.778 eV/atom. For the uncorrected energy, the calculation gives -97.70 eV/cell. The value obtained for the density of states at the Fermi level is 6.63 states/eV/f.u. For the calculated volume, the calculation gives 281.2 Å³ per cell.

Cell lengths 5.8519, 5.8519, 9.4809 Å; angles 90.00, 90.00, 120.00 degrees
Last column: nearest neighbours and their distance in Å.
Space group P-3m1 (No. 164)
Inequivalent atoms, fractional coordinates:
Nd1 0.0000 0.0000 0.0000  12 Pt 2.93-3.14
Nd2 0.3333 0.6667 0.6186  6 Pt 3.08
Sn1 0.0000 0.0000 0.5000  6 Pt 2.70
B1 0.3333 0.6667 0.1434  6 Pt 2.11-2.17
Pt1 0.0000 0.5000 0.0000  2 B 2.17
Pt2 0.1674 0.3348 0.2784  1 B 2.11